(1)
## HoPu2Te4 (GGA-PBE)

Data for a geometry-optimized HoPu2Te4 structure.

Unit cell a=16.301 b=4.407 c=7.788 alpha=90.00 beta=117.66 gamma=90.00
Sites, in units of the cell vectors:
Ho (0.000, 0.000, 0.000)
Ho (0.500, 0.500, 0.000)
Pu (0.236, 0.500, 0.727)
Pu (0.264, 0.000, 0.273)
Pu (0.736, 0.000, 0.727)
Pu (0.764, 0.500, 0.273)
Te (0.119, 0.000, 0.438)
Te (0.129, 0.500, 0.977)
Te (0.371, 0.000, 0.023)
Te (0.381, 0.500, 0.562)
Te (0.619, 0.500, 0.438)
Te (0.629, 0.000, 0.977)
Te (0.871, 0.500, 0.023)
Te (0.881, 0.000, 0.562)

Calculated values
The space group is C2/m. Its uncorrected formation energy is -1.12 eV per atom.

(2)
## HoPu2Te4 (GGA-PBE)

Data for a geometry-optimized HoPu2Te4 structure.

Unit cell a=7.530 b=7.530 c=15.142 alpha=90.00 beta=90.00 gamma=147.10
Sites, in units of the cell vectors:
Ho (0.122, 0.878, 0.750)
Ho (0.878, 0.122, 0.250)
Pu (0.365, 0.635, 0.569)
Pu (0.365, 0.635, 0.931)
Pu (0.635, 0.365, 0.069)
Pu (0.635, 0.365, 0.431)
Te (0.000, 0.000, 0.000)
Te (0.000, 0.000, 0.500)
Te (0.281, 0.719, 0.126)
Te (0.281, 0.719, 0.374)
Te (0.468, 0.532, 0.750)
Te (0.532, 0.468, 0.250)
Te (0.719, 0.281, 0.626)
Te (0.719, 0.281, 0.874)

Calculated values
The space group is Cmcm. Its uncorrected formation energy is -1.11 eV per atom.

Number 1: excess energy over the best structure of this formula in the dataset 0 meV per atom, raw total energy -107.34 eV per cell. Number 2: excess energy over the best structure of this formula in the dataset 16 meV per atom, raw total energy -107.13 eV per cell.